A plane-wave DFT calculation with PBE was carried out for an optimized crystal structure of Pr2TaCu3Ni12.

```
data_Pr2TaCu3Ni12
_symmetry_space_group_name_H-M 'R -3 m'
_symmetry_Int_Tables_number 166
_symmetry_space_group_name_Hall '-R 3 2"'
_cell_length_a 6.0958
_cell_length_b 6.0958
_cell_length_c 25.5733
_cell_angle_alpha 90.00
_cell_angle_beta 90.00
_cell_angle_gamma 120.00
loop_
_atom_site_label
_atom_site_type_symbol
_atom_site_fract_x
_atom_site_fract_y
_atom_site_fract_z
Pr1 Pr 0.0000 0.0000 0.1501
Ta1 Ta 0.0000 0.0000 0.5000
Cu1 Cu 0.0000 0.5000 0.0000
Ni1 Ni 0.0438 0.5219 0.0944
Ni2 Ni 0.0761 0.5380 0.6182
```

total DFT energy (no corrections): -5.49 eV per atom
total moment: 0.0 μB/cell
ρ: 8.2 g/cm3
energy relative to the elements: 0.233 eV per atom